# LiLaW

Crystalline LiLaW at its relaxed geometry (PBE-GGA, the Alexandria database).

```
LiLaW
1.0
5.083 0.000 0.000
-2.542 4.402 0.000
0.000 0.000 2.756
Li La W
1 1 1
Direct
0.000 0.000 0.000 Li
0.333 0.667 0.787 La
0.667 0.333 0.318 W
```

SG: P3m1, No. 156
Energy of formation from the pure elements (eV/atom): 0.700
Relative energy among the computed polymorphs (meV per atom): 37